(1)
Tl3TcAs | PBE | relaxed

Calculated values
* space group: Pm-3m, No. 221
* relative energy among the computed polymorphs: 458.2 meV per atom
* DFT formation energy: 1.21 eV per atom
* total magnetic moment: 0.7713 μB/atom
* N(E_F): 4.14 states/eV/cell

Cell lengths 5.4525, 5.4525, 5.4525 Å; angles 90.00, 90.00, 90.00 degrees
Each line ends with the local moment (μB).
Positions (direct):
Tc 0.5000 0.5000 0.5000  3.49
As 0.0000 0.0000 0.0000  0.03
Tl 0.0000 0.0000 0.5000  -0.01
Tl 0.5000 0.0000 0.0000  -0.03
Tl 0.0000 0.5000 0.0000  -0.03

***

(2)
TlTc2As2 | PBE | relaxed

Calculated values
* space group: I4/mmm, No. 139
* relative energy among the computed polymorphs: 13.1 meV per atom
* DFT formation energy: 0.21 eV per atom
* total magnetic moment: 0.0000 μB/atom
* N(E_F): 2.77 states/eV/cell

Cell lengths 3.8950, 3.8950, 6.5989 Å; angles 72.83, 72.83, 90.00 degrees
Positions (direct):
Tc 0.3810 0.3810 0.2379
Tc 0.6190 0.6190 0.7621
As 0.7500 0.2500 0.5000
As 0.2500 0.7500 0.5000
Tl 0.0000 0.0000 0.0000